(1)
# MoRh, PBEsol geometry, DFT SCAN
data_MoRh
_chemical_formula_sum 'Mo2 Rh2'
_cell_length_a 4.3845
_cell_length_b 2.7153
_cell_length_c 4.7715
_cell_angle_alpha 90.00
_cell_angle_beta 90.00
_cell_angle_gamma 90.00
_symmetry_space_group_name_H-M 'P m m a'
_symmetry_Int_Tables_number 51
loop_
_symmetry_equiv_pos_as_xyz
'x,y,z'
'-x,-y,-z'
'-x+1/2,-y,z'
'x+1/2,y,-z'
'x+1/2,-y,-z'
'-x+1/2,y,z'
'-x,y,-z'
'x,-y,z'
loop_
_atom_site_label
_atom_site_fract_x
_atom_site_fract_y
_atom_site_fract_z
Mo1 0.2500 0.0000 0.1711
Rh1 0.2500 0.5000 0.6731
# ρ, g cm⁻³: 11.6



(2)
# MoRh5, PBEsol geometry, DFT SCAN
data_MoRh5
_chemical_formula_sum 'Mo1 Rh5'
_cell_length_a 2.6887
_cell_length_b 2.6887
_cell_length_c 11.3993
_cell_angle_alpha 90.00
_cell_angle_beta 90.00
_cell_angle_gamma 90.00
_symmetry_space_group_name_H-M 'P 4/m m m'
_symmetry_Int_Tables_number 123
_symmetry_space_group_name_Hall '-P 4 2'
loop_
_atom_site_label
_atom_site_fract_x
_atom_site_fract_y
_atom_site_fract_z
Mo1 0.0000 0.0000 0.0000
Rh1 0.0000 0.0000 0.3376
Rh2 0.5000 0.5000 0.1667
Rh3 0.5000 0.5000 0.5000
# Excess energy over the best structure of this formula in the dataset, meV/atom: 107
# ρ, g cm⁻³: 12.3



(3)
# MoRh5, PBEsol geometry, DFT SCAN
data_MoRh5
_chemical_formula_sum 'Mo2 Rh10'
_cell_length_a 4.3131
_cell_length_b 2.7109
_cell_length_c 14.0557
_cell_angle_alpha 90.00
_cell_angle_beta 90.00
_cell_angle_gamma 90.00
_symmetry_space_group_name_H-M 'A m m 2'
_symmetry_Int_Tables_number 38
loop_
_symmetry_equiv_pos_as_xyz
'x,y,z'
'-x,-y,z'
'-x,y,z'
'x,-y,z'
'x,y+1/2,z+1/2'
'-x,-y+1/2,z+1/2'
'-x,y+1/2,z+1/2'
'x,-y+1/2,z+1/2'
loop_
_atom_site_label
_atom_site_fract_x
_atom_site_fract_y
_atom_site_fract_z
Mo1 0.0000 0.0000 0.0000
Rh1 0.0000 0.0000 0.3328
Rh2 0.0000 0.0000 0.6629
Rh3 0.5000 0.0000 0.1101
Rh4 0.5000 0.0000 0.4425
Rh5 0.5000 0.0000 0.7758
# Excess energy over the best structure of this formula in the dataset, meV/atom: 45
# ρ, g cm⁻³: 12.3



Per-record V, Å³/cell: 56.8, 82.4, 164.3
Per-record DFT total energy, eV per atom: -34.53, -34.03, -34.10